(1)
Sr2CrAg, relaxed, DFT GGA-PBE; crystal system = cubic; total moment = 5.17 μB/cell; E_form = 281.7 meV per atom
1.0
0.000 3.984 3.984
3.984 0.000 3.984
3.984 3.984 0.000
Sr Cr Ag
2 1 1
Direct
0.250 0.250 0.250
0.750 0.750 0.750
0.000 0.000 0.000
0.500 0.500 0.500

=====

(2)
Al2Rh2O, relaxed, DFT GGA-PBE; crystal system = tetragonal; total moment = 0.00 μB/cell; uncorrected formation energy = 2 meV per atom
1.0
-1.765 1.765 6.322
1.765 -1.765 6.322
1.765 1.765 -6.322
Al Rh O
2 2 1
Direct
0.100 0.100 0.000
0.900 0.900 0.000
0.250 0.750 0.500
0.750 0.250 0.500
0.500 0.500 0.000

=====

(3)
Rb2Tl2Sb, relaxed, DFT GGA-PBE; crystal system = tetragonal; total moment = 0.00 μB/cell; uncorrected formation energy = -135 meV per atom
1.0
8.334 0.000 0.000
0.000 8.334 0.000
0.000 0.000 5.950
Rb Tl Sb
4 4 2
Direct
0.187 0.313 0.000
0.313 0.813 0.000
0.687 0.187 0.000
0.813 0.687 0.000
0.132 0.632 0.500
0.368 0.132 0.500
0.632 0.868 0.500
0.868 0.368 0.500
0.000 0.000 0.500
0.500 0.500 0.500

=====

(4)
LaCrMo2, relaxed, DFT GGA-PBE; crystal system = monoclinic; total moment = 0.00 μB/cell; E_form = 580.3 meV per atom
1.0
4.725 -1.546 0.000
4.725 1.546 0.000
-1.351 0.000 5.284
La Cr Mo
1 1 2
Direct
0.000 0.000 0.000
0.500 0.500 0.500
0.209 0.209 0.666
0.791 0.791 0.334

=====

(5)
CrCd2Se, relaxed, DFT GGA-PBE; crystal system = trigonal; total moment = 4.25 μB/cell; uncorrected formation energy = 258 meV per atom
1.0
1.959 1.131 7.115
-1.959 1.131 7.115
0.000 -2.262 7.115
Cr Cd Se
1 2 1
Direct
0.000 0.000 0.000
0.247 0.247 0.247
0.753 0.753 0.753
0.500 0.500 0.500

=====

(6)
Ac2TmPb5, relaxed, DFT GGA-PBE; crystal system = tetragonal; total moment = 0.00 μB/cell; E_form = -387.2 meV per atom
1.0
-3.674 3.674 4.760
3.674 -3.674 4.760
3.674 3.674 -4.760
Ac Tm Pb
2 1 5
Direct
0.000 0.500 0.500
0.500 0.000 0.500
0.498 0.498 0.000
0.001 0.001 0.000
0.501 0.501 0.502
0.501 0.999 0.000
0.999 0.501 0.000
0.999 0.999 0.498

=====

(7)
LaZr2P, relaxed, DFT GGA-PBE; crystal system = orthorhombic; total moment = 0.00 μB/cell; E_form = -369.7 meV per atom
1.0
1.949 -2.676 0.000
1.949 2.676 0.000
0.000 0.000 9.068
La Zr P
1 2 1
Direct
0.000 0.000 0.000
0.500 0.500 0.314
0.500 0.500 0.686
0.000 0.000 0.500

=====

(8)
NdY2Sc6, relaxed, DFT GGA-PBE; crystal system = trigonal; total moment = 0.00 μB/cell; E_form = 222.0 meV per atom
1.0
6.958 0.000 0.000
-3.479 6.025 0.000
0.000 0.000 5.918
Nd Y Sc
1 2 6
Direct
0.000 0.000 0.000
0.333 0.667 0.811
0.667 0.333 0.189
0.188 0.377 0.319
0.188 0.812 0.319
0.377 0.188 0.681
0.623 0.812 0.319
0.812 0.188 0.681
0.812 0.623 0.681